Pm2AlCu7: optimized geometry, PBE-GGA.

Unit cell a=4.0569 b=4.0569 c=10.3426 alpha=90.00 beta=90.00 gamma=90.00
Fractional coordinates of all 10 atoms:
Pm (0.0000, 0.5000, 0.2427)
Pm (0.5000, 0.0000, 0.7573)
Al (0.0000, 0.0000, 0.5000)
Cu (0.0000, 0.0000, 0.0000)
Cu (0.0000, 0.5000, 0.6375)
Cu (0.0000, 0.5000, 0.8698)
Cu (0.5000, 0.0000, 0.1302)
Cu (0.5000, 0.0000, 0.3625)
Cu (0.5000, 0.5000, 0.0000)
Cu (0.5000, 0.5000, 0.5000)

ΔH_f (0 K) (meV/atom): -183.8
Crystal system: tetragonal
Total DFT energy (no corrections) (eV per atom): -4.375
Fermi-level density of states (states/eV per cell): 3.74
Size of the total moment (μB/f.u.): 0.00